Compound: ZnAg2
Source: the Alexandria database
Functional: PBE
Structure: optimized geometry

abc: 4.370 4.370 3.061
angles: 90.00 90.00 90.00
Space group P4/mmm (No. 123)
Symmetry-distinct sites (fractional):
Zn (0.000, 0.000, 0.000) x1
Ag (0.000, 0.500, 0.500) x2

energy above the lowest structure with this stoichiometry: 0.185 eV per atom
N(E_F): 0.79 states/eV per cell
ΔH_f (0 K): 141 meV/atom